(1)
DFT (GGA-PBE) results for CsGeSb after structural relaxation.

Structure (POSCAR):
```
CsGeSb
1.0
6.842 0.000 0.000
0.000 4.344 0.000
0.000 -2.172 3.762
Cs Sb Ge
1 1 1
direct
0.682 0.667 0.333
0.251 0.333 0.667
0.067 0.000 0.000
```

## Properties
Calculated volume ... 111.8 Å³ per cell
Total moment ... 0.00 μB per atom
Formation energy without anion corrections ... -0.248 eV/atom

(2)
DFT (GGA-PBE) results for Sm4CdPt after structural relaxation.

Structure (POSCAR):
```
Sm4CdPt
1.0
9.891 0.000 0.000
4.946 8.566 0.000
4.946 2.855 8.076
Sm Cd Pt
16 4 4
direct
0.351 0.351 0.351
0.351 0.351 0.946
0.351 0.946 0.351
0.946 0.351 0.351
0.809 0.191 0.191
0.191 0.809 0.809
0.191 0.809 0.191
0.809 0.191 0.809
0.191 0.191 0.809
0.809 0.809 0.191
0.936 0.564 0.564
0.564 0.936 0.936
0.564 0.936 0.564
0.936 0.564 0.936
0.564 0.564 0.936
0.936 0.936 0.564
0.581 0.581 0.581
0.581 0.581 0.257
0.581 0.257 0.581
0.257 0.581 0.581
0.143 0.143 0.143
0.143 0.143 0.570
0.143 0.570 0.143
0.570 0.143 0.143
```

## Properties
Calculated volume ... 684.3 Å³ per cell
Energy of formation ... -0.57 eV/atom
Total moment ... 0.00 μB per atom

(3)
DFT (GGA-PBE) results for TbEr3S4 after structural relaxation.

Structure (POSCAR):
```
TbEr3S4
1.0
-2.091 2.292 4.526
-4.698 0.975 -2.664
-1.917 -4.890 1.591
Tb Er S
1 3 4
direct
0.000 0.000 0.000
0.000 0.500 0.500
0.500 0.000 0.500
0.500 0.500 0.000
0.500 0.000 0.000
0.000 0.500 0.000
0.000 0.000 0.500
0.500 0.500 0.500
```

## Properties
Calculated volume ... 165.3 Å³ per cell
Total moment ... 0.00 μB per atom
Formation energy without anion corrections ... -1.954 eV/atom

(4)
DFT (GGA-PBE) results for Li3HoAu3 after structural relaxation.

Structure (POSCAR):
```
Li3HoAu3
1.0
6.860 0.000 0.000
3.430 5.941 0.000
3.430 1.980 6.632
Li Ho Au
6 2 6
direct
0.567 0.742 0.603
0.742 0.089 0.603
0.089 0.567 0.603
0.911 0.433 0.397
0.258 0.911 0.397
0.433 0.258 0.397
0.338 0.338 0.985
0.662 0.662 0.015
0.179 0.687 0.201
0.933 0.179 0.201
0.687 0.933 0.201
0.313 0.067 0.799
0.067 0.821 0.799
0.821 0.313 0.799
```

## Properties
Calculated volume ... 270.3 Å³ per cell
Energy of formation ... -0.51 eV/atom
Total moment ... 0.00 μB per atom

(5)
DFT (GGA-PBE) results for TbErLuAl after structural relaxation.

Structure (POSCAR):
```
TbErLuAl
1.0
5.297 0.000 0.000
2.648 4.587 0.000
2.648 1.529 4.325
Lu Tb Al Er
1 1 1 1
direct
0.250 0.250 0.250
0.000 0.000 0.000
0.750 0.750 0.750
0.500 0.500 0.500
```

## Properties
Calculated volume ... 105.1 Å³ per cell
Energy of formation ... -0.08 eV/atom
Total moment ... 0.00 μB per atom

(6)
DFT (GGA-PBE) results for Rb2Cd4Au after structural relaxation.

Structure (POSCAR):
```
Rb2Cd4Au
1.0
5.399 0.000 0.000
0.000 5.399 0.000
-2.699 -2.699 9.541
Au Rb Cd
1 2 4
direct
0.000 0.000 0.000
0.656 0.656 0.311
0.344 0.344 0.689
0.854 0.854 0.709
0.146 0.146 0.291
0.000 0.500 0.000
0.500 0.000 0.000
```

## Properties
Calculated volume ... 278.1 Å³ per cell
Energy of formation ... -0.04 eV/atom
Total moment ... 0.00 μB per atom

(7)
DFT (GGA-PBE) results for CeCdBr after structural relaxation.

Structure (POSCAR):
```
CeCdBr
1.0
-2.962 -0.031 2.168
-3.826 -3.650 -5.278
3.975 -5.571 2.243
Br Cd Ce
2 2 2
direct
0.498 0.263 0.997
0.502 0.737 0.003
0.759 0.845 0.517
0.241 0.155 0.483
0.133 0.528 0.265
0.867 0.472 0.735
```

## Properties
Calculated volume ... 189.4 Å³ per cell
Total moment ... 0.49 μB per atom
Formation energy without anion corrections ... -0.644 eV/atom

(8)
DFT (GGA-PBE) results for TlCd2As after structural relaxation.

Structure (POSCAR):
```
TlCd2As
1.0
-3.686 3.862 0.002
-4.190 -2.850 -1.679
3.140 -1.269 4.127
Tl As Cd
1 1 2
direct
0.250 0.750 0.500
0.750 0.250 0.500
0.000 0.000 0.000
0.500 0.500 0.000
```

## Properties
Calculated volume ... 97.7 Å³ per cell
Energy of formation ... 0.12 eV/atom
Total moment ... 0.00 μB per atom

| no. | E_tot (eV for the cell shown) |
| --- | --- |
| 1 | -10.3 |
| 2 | -117.0 |
| 3 | -50.5 |
| 4 | -47.4 |
| 5 | -17.8 |
| 6 | -9.2 |
| 7 | -20.9 |
| 8 | -8.4 |